Density functional theory data (meta-GGA SCAN) for a PBEsol-optimized structure of ReAg2Mo.

a = 6.291 Å, b = 6.291 Å, c = 6.291 Å
α = 90.00°, β = 90.00°, γ = 90.00°
Space group Fm-3m (No. 225)
Symmetry-distinct sites (fractional):
Re 0.000 0.000 0.000 [4 per cell]
Ag 0.250 0.250 0.250 [8 per cell]
Mo 0.000 0.000 0.500 [4 per cell]

The calculation puts the density of states at the Fermi level at 17.24 states/eV per cell. As for the crystal system: cubic. The magnetization is 0.000 μB/atom. As for the volume: 249 Å³/cell. Its total energy is -655.92 eV per cell.